! PBE-GGA ZrAlAs2, optimized geometry; values from VASP
&SYSTEM
  ibrav = 0, nat = 16, ntyp = 3
/
ATOMIC_SPECIES
As 74.92 As.upf
Al 26.98 Al.upf
Zr 91.22 Zr.upf
ATOMIC_POSITIONS angstrom
As -3.292 -0.781 4.713
As 1.513 3.669 4.770
As -1.032 2.227 8.885
As -0.746 0.661 0.598
As -2.559 -0.975 8.242
As 0.833 3.746 1.226
As -2.030 2.364 3.756
As 0.304 0.406 5.713
Al 0.422 2.156 3.197
Al -0.929 3.926 6.155
Al 2.682 5.164 7.369
Al -3.189 0.918 1.983
Zr -0.953 -0.387 3.282
Zr -2.269 1.376 6.417
Zr 1.306 2.621 7.455
Zr -4.528 -1.632 2.245
CELL_PARAMETERS angstrom
-6.496 -2.615 1.198
1.730 -0.332 8.659
2.789 6.347 -0.314
! DFT formation energy ... -2.51 eV/f.u.
! Calculated volume ... 19.1 Å³/atom
! Space group ... No. 9
! Magnetic moment ... 0.0 μB/cell